Version a
Compound: PrNd3Ir
Source: Alexandria
Functional: PBE
Structure: relaxed

Cell and atoms, written as POSCAR:
```
PrNd3Ir
1.0
-5.9830 -0.0092 3.2686
-4.4719 -3.4557 -4.3298
0.2545 -5.6567 4.3154
Ir Pr Nd
2 2 6
direct
0.5005 0.2513 0.2513
0.4995 0.7487 0.7487
0.2303 0.0676 0.0676
0.7697 0.9324 0.9324
0.2337 0.5662 0.0665
0.2337 0.0665 0.5662
0.7663 0.4338 0.9335
0.7679 0.4332 0.4332
0.7663 0.9335 0.4338
0.2321 0.5668 0.5668
```

- Symmetry: C2/m
- D(E_F): 5.4 states/eV/f.u.
- Crystal system: monoclinic
- Total moment: 0.00 μB per formula unit

=====

Version b
Compound: PrNd3Ir
Source: Alexandria
Functional: PBE
Structure: relaxed

Cell and atoms, written as POSCAR:
```
PrNd3Ir
1.0
-3.8132 5.9031 -2.9795
-5.3361 -5.1939 -3.4612
-3.7161 2.3350 9.3820
Pr Nd Ir
4 12 4
direct
0.0373 0.3090 0.7454
0.9627 0.6910 0.2546
0.5373 0.6910 0.7546
0.4627 0.3090 0.2454
0.1287 0.0848 0.3916
0.3713 0.0848 0.8916
0.5037 0.2135 0.6222
0.9963 0.2135 0.1222
0.4963 0.7865 0.3778
0.8713 0.9152 0.6084
0.2924 0.5674 0.0232
0.7076 0.4326 0.9768
0.7924 0.4326 0.4768
0.2076 0.5674 0.5232
0.0037 0.7865 0.8778
0.6287 0.9152 0.1084
0.2580 0.9335 0.6020
0.7580 0.0665 0.8980
0.7420 0.0665 0.3980
0.2420 0.9335 0.1020
```

- Symmetry: P2_1/c
- D(E_F): 5.3 states/eV/f.u.
- Crystal system: monoclinic
- Total moment: 0.00 μB per formula unit

=====

Energies relative to the minimum, eV/atom: version a 0.022; version b 0.000

=====

Version a
Compound: PrNdIr
Source: Alexandria
Functional: PBE
Structure: relaxed

Cell and atoms, written as POSCAR:
```
PrNdIr
1.0
3.9695 0.0000 0.0000
-1.9848 6.2888 -2.9720
0.0000 -0.9264 7.8612
Ir Nd Pr
2 2 2
direct
0.5963 0.1926 0.8000
0.9345 0.8689 0.2449
0.2501 0.5002 0.1034
0.9208 0.8416 0.5968
0.1647 0.3295 0.5845
0.5107 0.0215 0.0836
```

- Symmetry: Cm
- D(E_F): 2.7 states/eV/f.u.
- Crystal system: monoclinic
- Total moment: 0.00 μB per formula unit

=====

Version b
Compound: PrNdIr
Source: Alexandria
Functional: PBE
Structure: relaxed

Cell and atoms, written as POSCAR:
```
PrNdIr
1.0
-0.0664 -1.6595 -3.1879
-1.9469 -2.6636 1.4271
-4.6675 5.4539 -0.7154
Ir Nd Pr
1 1 1
direct
0.6678 0.6678 0.3356
0.2898 0.2898 0.5797
0.0424 0.0424 0.0848
```

- Symmetry: I4mm
- D(E_F): 2.8 states/eV/f.u.
- Crystal system: tetragonal
- Total moment: 0.00 μB per formula unit

=====

Version c
Compound: PrNdIr
Source: Alexandria
Functional: PBE
Structure: relaxed

Cell and atoms, written as POSCAR:
```
PrNdIr
1.0
-1.9865 -4.5432 -0.4129
2.9570 -3.9785 -0.4299
0.3823 -3.2337 3.7622
Nd Pr Ir
1 1 1
direct
0.0000 0.0000 0.0000
0.5000 0.5000 0.5000
0.2500 0.2500 0.2500
```

- Symmetry: F-43m
- D(E_F): 2.5 states/eV/f.u.
- Crystal system: cubic
- Total moment: 0.00 μB per formula unit

=====

Version d
Compound: PrNdIr
Source: Alexandria
Functional: PBE
Structure: relaxed

Cell and atoms, written as POSCAR:
```
PrNdIr
1.0
8.0495 0.0000 0.0000
0.0000 9.5720 0.0000
-4.0247 -4.7860 6.3409
Nd Ir Pr
6 6 6
direct
0.7620 0.1350 0.2699
0.7620 0.6349 0.2699
0.4922 0.3651 0.7301
0.0197 0.5000 0.0000
0.0197 0.0000 0.0000
0.4922 0.8650 0.7301
0.4356 0.6619 0.3239
0.4356 0.1620 0.3239
0.1117 0.8380 0.6761
0.7438 0.2500 0.9999
0.7438 0.7500 0.0001
0.1117 0.3381 0.6761
0.3467 0.7500 0.0000
0.1421 0.4579 0.4159
0.7259 0.0420 0.5840
0.7262 0.5421 0.5841
0.3467 0.2500 0.0000
0.1419 0.9580 0.4160
```

- Symmetry: Amm2
- D(E_F): 3.3 states/eV/f.u.
- Crystal system: orthorhombic
- Total moment: 0.00 μB per formula unit

=====

Energies relative to the minimum, eV/atom: version a 0.147; version b 0.121; version c 0.000; version d 0.020